Here is a relaxed PmPrN crystal from the Alexandria database. Energies are from PBE. Values from VASP.

```
&SYSTEM
  ibrav = 0, nat = 3, ntyp = 3
/
ATOMIC_SPECIES
Pr 140.91 Pr.upf
N 14.01 N.upf
Pm 145.00 Pm.upf
CELL_PARAMETERS angstrom
-5.570 2.457 -2.120
-0.247 -2.672 -2.449
-1.446 -0.426 3.305
ATOMIC_POSITIONS angstrom
Pr -4.998 -0.004 -2.187
N -0.044 0.020 -0.017
Pm -2.220 -0.657 0.940
```

Calculated values
Symmetry: No. 156
Final energy (eV/atom): -6.8067
Uncorrected formation energy (eV/atom): -0.855


Here is a relaxed Ta2CoH crystal from the Alexandria database. Energies are from PBE. Values from VASP.

```
&SYSTEM
  ibrav = 0, nat = 8, ntyp = 3
/
ATOMIC_SPECIES
H 1.01 H.upf
Co 58.93 Co.upf
Ta 180.95 Ta.upf
CELL_PARAMETERS angstrom
-0.565 -4.403 -0.971
1.124 -1.085 4.267
-5.204 -2.380 3.185
ATOMIC_POSITIONS angstrom
H 0.280 -2.744 1.648
H -1.900 -3.105 4.550
Co 0.000 0.000 0.000
Co -2.744 -4.764 1.931
Ta -1.467 -3.123 0.802
Ta -0.715 -2.184 3.263
Ta -3.601 -3.932 3.974
Ta -3.505 -6.499 4.924
```

Calculated values
Symmetry: No. 122
Final energy (eV/atom): -7.9173


Here is a relaxed TbPr5Tm4 crystal from the Alexandria database. Energies are from PBE. Values from VASP.

```
&SYSTEM
  ibrav = 0, nat = 10, ntyp = 3
/
ATOMIC_SPECIES
Tb 158.93 Tb.upf
Pr 140.91 Pr.upf
Tm 168.93 Tm.upf
CELL_PARAMETERS angstrom
3.634 0.000 0.000
0.000 3.634 0.000
0.000 0.000 25.140
ATOMIC_POSITIONS angstrom
Tb 0.000 0.000 0.000
Pr 1.817 1.817 2.558
Pr 1.817 1.817 7.569
Pr 1.817 1.817 12.570
Pr 1.817 1.817 17.571
Pr 1.817 1.817 22.582
Tm 0.000 0.000 5.070
Tm 0.000 0.000 10.071
Tm 0.000 0.000 15.069
Tm 0.000 0.000 20.071
```

Calculated values
Symmetry: No. 123
Final energy (eV/atom): -4.6218
Formation enthalpy at 0 K (eV per atom): 0.02


Here is a relaxed LiCa4Er3S8 crystal from the Alexandria database. Energies are from PBE. Values from VASP.

```
&SYSTEM
  ibrav = 0, nat = 16, ntyp = 4
/
ATOMIC_SPECIES
Li 6.94 Li.upf
Ca 40.08 Ca.upf
Er 167.26 Er.upf
S 32.06 S.upf
CELL_PARAMETERS angstrom
7.854 0.000 0.000
0.000 7.890 0.020
-3.927 -3.923 5.556
ATOMIC_POSITIONS angstrom
Li 0.000 3.945 0.010
Ca 3.927 0.000 0.000
Ca 1.963 -1.962 2.778
Ca 0.000 0.000 0.000
Ca -1.963 -1.962 2.778
Er 3.927 3.945 0.010
Er 1.963 1.983 2.788
Er -1.963 1.983 2.788
S -1.960 1.936 5.527
S 0.000 3.893 2.756
S 0.000 0.058 2.817
S 1.960 1.936 5.527
S 1.967 2.031 0.049
S 3.927 3.909 2.760
S 3.927 0.074 2.821
S 5.886 2.031 0.049
```

Calculated values
Symmetry: No. 166
Final energy (eV/atom): -5.5637
Uncorrected formation energy (eV/atom): -2.024


Here is a relaxed RbTh2Cl8 crystal from the Alexandria database. Energies are from PBE. Values from VASP.

```
&SYSTEM
  ibrav = 0, nat = 11, ntyp = 3
/
ATOMIC_SPECIES
Rb 85.47 Rb.upf
Th 232.04 Th.upf
Cl 35.45 Cl.upf
CELL_PARAMETERS angstrom
7.662 -0.439 -0.333
-0.493 8.320 1.366
-0.493 3.556 7.644
ATOMIC_POSITIONS angstrom
Rb 0.000 0.000 0.000
Th 3.114 8.566 6.500
Th 3.562 2.870 2.178
Cl 1.778 6.216 7.314
Cl 4.899 2.719 4.661
Cl 1.076 9.898 7.510
Cl 5.600 1.538 1.167
Cl 1.778 8.717 4.017
Cl 4.899 5.221 1.364
Cl 5.051 7.187 5.453
Cl 1.625 4.249 3.224
```

Calculated values
Symmetry: No. 12
Final energy (eV/atom): -4.7938
Uncorrected formation energy (eV/atom): -2.014


Here is a relaxed Th2UTc2 crystal from the Alexandria database. Energies are from PBE. Values from VASP.

```
&SYSTEM
  ibrav = 0, nat = 10, ntyp = 3
/
ATOMIC_SPECIES
Th 232.04 Th.upf
U 238.03 U.upf
Tc 98.00 Tc.upf
CELL_PARAMETERS angstrom
5.860 0.085 0.789
2.650 5.228 0.789
-0.049 -0.031 7.824
ATOMIC_POSITIONS angstrom
Th 3.354 1.224 1.743
Th 5.913 2.821 3.746
Th 5.106 4.058 7.658
Th 2.548 2.461 5.655
U 3.102 4.476 2.745
U 5.358 0.806 6.657
Tc 4.397 0.071 4.585
Tc 6.440 1.347 8.728
Tc 4.063 5.210 4.816
Tc 2.020 3.935 0.674
```

Calculated values
Symmetry: No. 15
Final energy (eV/atom): -9.5701
Formation enthalpy at 0 K (eV per atom): -0.20


Here is a relaxed Pa2P2PdN6 crystal from the Alexandria database. Energies are from PBE. Values from VASP.

```
&SYSTEM
  ibrav = 0, nat = 11, ntyp = 4
/
ATOMIC_SPECIES
Pa 231.04 Pa.upf
P 30.97 P.upf
Pd 106.42 Pd.upf
N 14.01 N.upf
CELL_PARAMETERS angstrom
-3.437 5.250 -0.154
-5.088 1.820 3.081
5.243 3.359 1.885
ATOMIC_POSITIONS angstrom
Pa -0.244 7.917 2.282
Pa -3.038 2.511 2.530
P -0.133 4.688 2.870
P -3.149 5.741 1.942
Pd 0.903 4.305 0.866
N -0.123 6.115 3.731
N -4.738 6.309 1.878
N -1.318 3.745 3.451
N 1.456 4.120 2.934
N -1.964 6.684 1.361
N -3.158 4.314 1.081
```

Calculated values
Symmetry: No. 2
Final energy (eV/atom): -8.5221
Uncorrected formation energy (eV/atom): -0.799


Here is a relaxed Ca5HoPb6 crystal from the Alexandria database. Energies are from PBE. Values from VASP.

```
&SYSTEM
  ibrav = 0, nat = 12, ntyp = 3
/
ATOMIC_SPECIES
Pb 207.20 Pb.upf
Ca 40.08 Ca.upf
Ho 164.93 Ho.upf
CELL_PARAMETERS angstrom
5.775 -0.134 0.367
-0.019 6.761 2.774
0.472 0.154 9.265
ATOMIC_POSITIONS angstrom
Pb 4.904 3.964 4.946
Pb 4.912 0.493 3.524
Pb 2.874 5.078 2.295
Pb 3.355 1.704 10.110
Pb 1.317 6.289 8.882
Pb 1.325 2.819 7.459
Ca 4.236 1.180 6.788
Ca 2.030 2.263 4.131
Ca -0.009 3.381 1.387
Ca 4.198 4.519 8.274
Ca 1.992 5.602 5.617
Ho 0.000 0.000 0.000
```

Calculated values
Symmetry: No. 12
Final energy (eV/atom): -3.5746
Formation enthalpy at 0 K (eV per atom): -0.50


Here is a relaxed Sr2Mg3ScCd12 crystal from the Alexandria database. Energies are from PBE. Values from VASP.

```
&SYSTEM
  ibrav = 0, nat = 18, ntyp = 4
/
ATOMIC_SPECIES
Sr 87.62 Sr.upf
Mg 24.30 Mg.upf
Sc 44.96 Sc.upf
Cd 112.41 Cd.upf
CELL_PARAMETERS angstrom
-5.231 2.886 -5.027
-2.839 -7.011 -1.935
-5.755 0.256 5.270
ATOMIC_POSITIONS angstrom
Sr -9.800 -2.743 -1.199
Sr -4.025 -1.127 -0.492
Mg -2.616 1.443 -2.513
Mg -1.420 -3.505 -0.967
Mg -2.877 0.128 2.635
Sc 0.000 0.000 0.000
Cd -8.355 -1.497 1.672
Cd -8.065 -3.238 -4.127
Cd -8.340 -4.620 1.285
Cd -8.119 -0.311 -2.971
Cd -9.597 0.581 -0.340
Cd -7.040 -4.773 -1.577
Cd -5.470 -2.373 -3.363
Cd -5.761 -0.631 2.435
Cd -5.485 0.751 -2.977
Cd -5.706 -3.558 1.280
Cd -4.228 -4.451 -1.352
Cd -6.785 0.904 -0.114
```

Calculated values
Symmetry: No. 166
Final energy (eV/atom): -1.4563
Formation enthalpy at 0 K (eV per atom): -0.04


Here is a relaxed PmDy5Sb6 crystal from the Alexandria database. Energies are from PBE. Values from VASP.

```
&SYSTEM
  ibrav = 0, nat = 12, ntyp = 3
/
ATOMIC_SPECIES
Pm 145.00 Pm.upf
Dy 162.50 Dy.upf
Sb 121.76 Sb.upf
CELL_PARAMETERS angstrom
-3.724 -5.679 -3.470
4.029 -6.446 0.630
-1.111 -4.624 5.963
ATOMIC_POSITIONS angstrom
Pm 0.000 0.000 0.000
Dy -1.942 -7.002 2.366
Dy 0.969 -3.692 2.205
Dy 0.153 -6.063 -1.420
Dy 1.950 -7.378 4.388
Dy 1.137 -9.748 0.758
Sb -2.816 -6.347 -0.528
Sb 1.014 -6.724 1.497
Sb 0.088 -3.062 -0.711
Sb 0.218 -9.063 -2.128
Sb -1.819 -10.026 1.626
Sb 2.010 -10.403 3.652
```

Calculated values
Symmetry: No. 12
Final energy (eV/atom): -5.5140
Uncorrected formation energy (eV/atom): -1.139


Here is a relaxed BaCa2Tl2 crystal from the Alexandria database. Energies are from PBE. Values from VASP.

```
&SYSTEM
  ibrav = 0, nat = 10, ntyp = 3
/
ATOMIC_SPECIES
Tl 204.38 Tl.upf
Ca 40.08 Ca.upf
Ba 137.33 Ba.upf
CELL_PARAMETERS angstrom
9.585 0.000 0.000
0.000 9.585 0.000
0.000 0.000 3.671
ATOMIC_POSITIONS angstrom
Tl 1.624 6.417 1.836
Tl 6.417 7.961 1.836
Tl 7.961 3.169 1.836
Tl 3.169 1.624 1.836
Ca 3.564 8.357 0.000
Ca 8.357 6.021 0.000
Ca 6.021 1.229 0.000
Ca 1.229 3.564 0.000
Ba 0.000 0.000 0.000
Ba 4.793 4.793 0.000
```

Calculated values
Symmetry: No. 127
Final energy (eV/atom): -2.4733
Formation enthalpy at 0 K (eV per atom): -0.34


Here is a relaxed Sc3ZnC crystal from the Alexandria database. Energies are from PBE. Values from VASP.

```
&SYSTEM
  ibrav = 0, nat = 10, ntyp = 3
/
ATOMIC_SPECIES
Sc 44.96 Sc.upf
C 12.01 C.upf
Zn 65.41 Zn.upf
CELL_PARAMETERS angstrom
6.272 0.001 -0.002
-0.508 5.459 0.001
-2.030 1.341 5.370
ATOMIC_POSITIONS angstrom
Sc 1.808 4.493 3.963
Sc 0.514 5.200 0.722
Sc 4.170 0.195 0.585
Sc 2.331 2.809 1.313
Sc -1.235 4.132 3.852
Sc 0.429 1.596 3.342
C 0.457 3.724 2.445
C 0.151 5.582 5.039
Zn 3.759 1.403 3.333
Zn 5.300 2.772 1.183
```

Calculated values
Symmetry: No. 1
Final energy (eV/atom): -6.2230
Formation enthalpy at 0 K (eV per atom): -0.32


Here is a relaxed Tl2ZnSb crystal from the Alexandria database. Energies are from PBE. Values from VASP.

```
&SYSTEM
  ibrav = 0, nat = 4, ntyp = 3
/
ATOMIC_SPECIES
Sb 121.76 Sb.upf
Tl 204.38 Tl.upf
Zn 65.41 Zn.upf
CELL_PARAMETERS angstrom
6.136 0.160 0.075
5.125 3.378 0.075
1.816 0.570 5.405
ATOMIC_POSITIONS angstrom
Sb 9.807 3.081 4.166
Tl 11.062 3.475 0.235
Tl 6.737 2.117 2.691
Zn 3.269 1.027 1.389
```

Calculated values
Symmetry: No. 12
Final energy (eV/atom): -2.3734
Uncorrected formation energy (eV/atom): 0.159